Entry 1:
DFT (PBE-GGA) results for a geometry-optimized Y2ReAg structure. Values from VASP.

Computed properties:
The formation energy is 0.607 eV/atom. For the energy above the most stable polymorph in this dataset, the calculation gives 655 meV per atom. Its symmetry is R3m (160).

Geometry as Quantum ESPRESSO input:
```
&SYSTEM
  ibrav = 0, nat = 4, ntyp = 3
/
ATOMIC_SPECIES
Ag 107.87 Ag.upf
Re 186.21 Re.upf
Y 88.91 Y.upf
CELL_PARAMETERS angstrom
-6.073 7.950 -2.113
-5.734 6.744 -5.118
-8.009 5.536 -3.126
ATOMIC_POSITIONS crystal
Ag 0.491 0.491 0.491
Re 0.753 0.753 0.753
Y 0.241 0.241 0.241
Y 0.015 0.015 0.015
```

---

Entry 2:
DFT (PBE-GGA) results for a geometry-optimized YRe2Ag structure. Values from VASP.

Computed properties:
The formation energy is 0.542 eV/atom. For the energy above the most stable polymorph in this dataset, the calculation gives 400 meV per atom. Its symmetry is C2/m (12).

Geometry as Quantum ESPRESSO input:
```
&SYSTEM
  ibrav = 0, nat = 4, ntyp = 3
/
ATOMIC_SPECIES
Ag 107.87 Ag.upf
Y 88.91 Y.upf
Re 186.21 Re.upf
CELL_PARAMETERS angstrom
-2.896 0.722 -4.485
-0.479 -0.622 -5.330
-2.443 -4.233 -0.256
ATOMIC_POSITIONS crystal
Ag 0.250 0.250 0.250
Y 0.750 0.750 0.750
Re 0.512 0.512 0.495
Re 0.988 0.988 0.005
```